Compound: Li5V4O8
Source: Alexandria
Functional: PBE with a Hubbard U
Structure: relaxed

Unit cell a=6.0409 b=6.0409 c=6.0409 alpha=60.38 beta=60.38 gamma=60.38
Last column: nearest neighbours and their distance in Å.
Fractional coordinates of all 17 atoms:
Li (0.0000, 0.0000, 0.0000)  3 O 2.02, 1 Li 2.10
Li (0.0004, 0.0004, 0.5831)  3 O 2.03-2.04, 1 Li 2.18
Li (0.0004, 0.5831, 0.0004)  3 O 2.03-2.04, 1 Li 2.18
Li (0.1425, 0.1425, 0.1425)  4 O 1.89-1.93, 1 Li 2.10
Li (0.5831, 0.0004, 0.0004)  3 O 2.03-2.04, 1 Li 2.18
V (0.0185, 0.5189, 0.5189)  6 O 2.06-2.13
V (0.5170, 0.5170, 0.5170)  6 O 2.15
V (0.5189, 0.0185, 0.5189)  6 O 2.06-2.13
V (0.5189, 0.5189, 0.0185)  6 O 2.06-2.13
O (0.2659, 0.2659, 0.7525)  1 Li 1.93, 3 V 2.06-2.15
O (0.2659, 0.7525, 0.2659)  1 Li 1.93, 3 V 2.06-2.15
O (0.2706, 0.2706, 0.2706)  1 Li 1.89
O (0.2868, 0.7672, 0.7672)  3 Li 2.02-2.04, 3 V 2.07-2.15
O (0.7525, 0.2659, 0.2659)  1 Li 1.93, 3 V 2.06-2.15
O (0.7663, 0.7663, 0.7663)  3 Li 2.03, 3 V 2.12
O (0.7672, 0.2868, 0.7672)  3 Li 2.02-2.04, 3 V 2.07-2.15
O (0.7672, 0.7672, 0.2868)  3 Li 2.02-2.04, 3 V 2.07-2.15

VASP energy   -6.64 eV/atom
Calculated density   3.87 g/cm3